1.
BaInFeP | PBE-GGA | optimized geometry

It has space group P4/nmm (No. 129, origin choice 2), with a = 4.000 Å, b = 4.000 Å, c = 12.224 Å, α = 90.00°, β = 90.00° and γ = 90.00°. The asymmetric unit holds Ba at (0.250, 0.250, 0.227), In at (0.250, 0.750, 0.500), Fe at (0.250, 0.750, 0.000) and P at (0.250, 0.250, 0.914).

The calculation puts the total magnetization at 0.00 μB per formula unit. The volume comes out at 196 Å³/cell. The calculation puts the formation energy from the elements at -12.6 kcal/mol of atoms.

=====

2.
BaInFeSe2 | PBE-GGA | optimized geometry

It has space group P4/mmm (No. 123), with a = 6.063 Å, b = 6.063 Å, c = 6.719 Å, α = 90.00°, β = 90.00° and γ = 90.00°. The asymmetric unit holds Ba at (0.000, 0.000, 0.000), In at (0.000, 0.000, 0.500), Fe at (0.500, 0.500, 0.500) and Se at (0.000, 0.500, 0.000).

The calculation puts the total magnetization at 5.00 μB per formula unit. The volume comes out at 247 Å³/cell. As for the raw formation energy: 4.2 eV/f.u.

=====

3.
BaIn2FeSn | PBE-GGA | optimized geometry

It has space group P4/mmm (No. 123), with a = 5.768 Å, b = 5.768 Å, c = 5.045 Å, α = 90.00°, β = 90.00° and γ = 90.00°. The asymmetric unit holds Ba at (0.000, 0.000, 0.000), In at (0.000, 0.500, 0.500), Fe at (0.500, 0.500, 0.000) and Sn at (0.500, 0.500, 0.500).

The calculation puts the total magnetization at 2.63 μB per formula unit. The volume comes out at 168 Å³/cell. The calculation puts the formation energy from the elements at 8.4 kcal/mol of atoms.

=====

4.
BaInFeTe2 | PBE-GGA | optimized geometry

It has space group P4/mmm (No. 123), with a = 5.517 Å, b = 5.517 Å, c = 4.992 Å, α = 90.00°, β = 90.00° and γ = 90.00°. The asymmetric unit holds Ba at (0.000, 0.000, 0.000), In at (0.500, 0.500, 0.000), Fe at (0.500, 0.500, 0.500) and Te at (0.000, 0.500, 0.500).

The calculation puts the total magnetization at 2.53 μB per formula unit. The volume comes out at 152 Å³/cell. As for the raw formation energy: -2.2 eV/f.u.

=====

5.
BaZrInFe2 | PBE-GGA | optimized geometry

It has space group P4/mmm (No. 123), with a = 4.812 Å, b = 4.812 Å, c = 5.666 Å, α = 90.00°, β = 90.00° and γ = 90.00°. The asymmetric unit holds Ba at (0.000, 0.000, 0.000), Zr at (0.500, 0.500, 0.500), In at (0.500, 0.500, 0.000) and Fe at (0.000, 0.500, 0.500).

The calculation puts the total magnetization at 0.09 μB per formula unit. The volume comes out at 131 Å³/cell. The calculation puts the formation energy from the elements at 21.7 kcal/mol of atoms.

=====

6.
Ba4FeIr | PBE-GGA | optimized geometry

It has space group F-43m (No. 216), with a = 9.585 Å, b = 9.585 Å, c = 9.585 Å, α = 90.00°, β = 90.00° and γ = 90.00°. The asymmetric unit holds Ba at (0.124, 0.124, 0.376), Fe at (0.000, 0.000, 0.000) and Ir at (0.250, 0.250, 0.750).

The calculation puts the total magnetization at 2.49 μB per formula unit. The volume comes out at 880 Å³/cell. The calculation puts the formation energy from the elements at 29.7 kcal/mol of atoms.